No. 1
# SrPb2Cl6O5 | Alexandria via LeMat-Bulk | PBE-GGA | optimized geometry
data_SrPb2Cl6O5
_chemical_formula_sum 'Sr4 Pb8 Cl24 O20'
_cell_length_a 16.349
_cell_length_b 10.567
_cell_length_c 9.787
_cell_angle_alpha 90.00
_cell_angle_beta 119.58
_cell_angle_gamma 90.00
_symmetry_space_group_name_H-M 'C 1 2/c 1'
_symmetry_Int_Tables_number 15
loop_
_symmetry_equiv_pos_as_xyz
'x,y,z'
'-x,-y,-z'
'-x,y,-z+1/2'
'x,-y,z+1/2'
'x+1/2,y+1/2,z'
'-x+1/2,-y+1/2,-z'
'-x+1/2,y+1/2,-z+1/2'
'x+1/2,-y+1/2,z+1/2'
loop_
_atom_site_label
_atom_site_type_symbol
_atom_site_fract_x
_atom_site_fract_y
_atom_site_fract_z
_atom_site_occupancy
Sr1 Sr 0.000 0.234 0.250 1
Pb1 Pb 0.118 0.457 0.987 1
Cl1 Cl 0.053 0.321 0.574 1
Cl2 Cl 0.177 0.354 0.333 1
Cl3 Cl 0.204 0.174 0.024 1
O1 O 0.000 0.463 0.250 1
O2 O 0.052 0.035 0.096 1
O3 O 0.130 0.015 0.106 1
# Total magnetization = 7.79 μB per cell
# ΔE_f (raw) = -0.7710 eV/atom
# Volume = 368 Å³/f.u.
# Final energy = -223.054 eV/cell

---

No. 2
# SrHgMo2 | Alexandria via LeMat-Bulk | PBE-GGA | optimized geometry
data_SrHgMo2
_chemical_formula_sum 'Sr2 Hg2 Mo4'
_cell_length_a 3.380
_cell_length_b 5.434
_cell_length_c 10.052
_cell_angle_alpha 90.00
_cell_angle_beta 90.00
_cell_angle_gamma 90.00
_symmetry_space_group_name_H-M 'I m m 2'
_symmetry_Int_Tables_number 44
loop_
_symmetry_equiv_pos_as_xyz
'x,y,z'
'-x,-y,z'
'-x,y,z'
'x,-y,z'
'x+1/2,y+1/2,z+1/2'
'-x+1/2,-y+1/2,z+1/2'
'-x+1/2,y+1/2,z+1/2'
'x+1/2,-y+1/2,z+1/2'
loop_
_atom_site_label
_atom_site_type_symbol
_atom_site_fract_x
_atom_site_fract_y
_atom_site_fract_z
_atom_site_occupancy
Sr1 Sr 0.000 0.000 0.000 1
Hg1 Hg 0.000 0.500 0.789 1
Mo1 Mo 0.000 0.000 0.546 1
Mo2 Mo 0.000 0.500 0.216 1
# ΔH_f (0 K) = 0.65 eV per atom
# Total magnetization = 0.00 μB per cell
# Volume = 92 Å³/f.u.
# Final energy = -42.093 eV/cell

---

No. 3
# RbSr3Pt8 | Alexandria via LeMat-Bulk | PBE-GGA | optimized geometry
data_RbSr3Pt8
_chemical_formula_sum 'Rb3 Sr9 Pt24'
_cell_length_a 5.5950
_cell_length_b 5.5950
_cell_length_c 27.2941
_cell_angle_alpha 90.00
_cell_angle_beta 90.00
_cell_angle_gamma 120.00
_symmetry_space_group_name_H-M 'R 3 m'
_symmetry_Int_Tables_number 160
_symmetry_space_group_name_Hall 'R 3 -2"'
loop_
_atom_site_label
_atom_site_type_symbol
_atom_site_fract_x
_atom_site_fract_y
_atom_site_fract_z
_atom_site_occupancy
Rb1 Rb 0.0000 0.0000 0.0000 1
Sr1 Sr 0.0000 0.0000 0.1228 1
Sr2 Sr 0.0000 0.0000 0.5016 1
Sr3 Sr 0.0000 0.0000 0.6288 1
Pt1 Pt 0.0000 0.0000 0.3132 1
Pt2 Pt 0.0000 0.0000 0.8134 1
Pt3 Pt 0.0024 0.5012 0.0653 1
Pt4 Pt 0.1680 0.3361 0.8948 1
# ΔH_f (0 K) = -0.69 eV per atom
# Total magnetization = 0.00 μB per cell
# Volume = 247 Å³/f.u.
# Final energy = -187.936 eV/cell

---

No. 4
# SrIrO4 | Alexandria via LeMat-Bulk | PBE-GGA | optimized geometry
data_SrIrO4
_chemical_formula_sum 'Sr4 Ir4 O16'
_cell_length_a 3.855
_cell_length_b 14.854
_cell_length_c 5.787
_cell_angle_alpha 90.00
_cell_angle_beta 90.00
_cell_angle_gamma 90.00
_symmetry_space_group_name_H-M 'C m c 21'
_symmetry_Int_Tables_number 36
loop_
_symmetry_equiv_pos_as_xyz
'x,y,z'
'-x,-y,z+1/2'
'-x,y,z'
'x,-y,z+1/2'
'x+1/2,y+1/2,z'
'-x+1/2,-y+1/2,z+1/2'
'-x+1/2,y+1/2,z'
'x+1/2,-y+1/2,z+1/2'
loop_
_atom_site_label
_atom_site_type_symbol
_atom_site_fract_x
_atom_site_fract_y
_atom_site_fract_z
_atom_site_occupancy
Sr1 Sr 0.000 0.161 0.000 1
Ir1 Ir 0.000 0.415 0.946 1
O1 O 0.000 0.079 0.427 1
O2 O 0.000 0.305 0.769 1
O3 O 0.000 0.350 0.222 1
O4 O 0.000 0.470 0.616 1
# Total magnetization = 7.92 μB per cell
# Polymorph energy (0 for the lowest one) = 0.047 eV per atom
# ΔE_f (raw) = -1.3885 eV/atom
# Volume = 83 Å³/f.u.
# Final energy = -154.826 eV/cell

---

No. 5
# AcSmSc2 | Alexandria via LeMat-Bulk | PBE-GGA | optimized geometry
data_AcSmSc2
_chemical_formula_sum 'Ac3 Sm3 Sc6'
_cell_length_a 3.5954
_cell_length_b 3.5954
_cell_length_c 33.2813
_cell_angle_alpha 90.00
_cell_angle_beta 90.00
_cell_angle_gamma 120.00
_symmetry_space_group_name_H-M 'R -3 m'
_symmetry_Int_Tables_number 166
_symmetry_space_group_name_Hall '-R 3 2"'
loop_
_atom_site_label
_atom_site_type_symbol
_atom_site_fract_x
_atom_site_fract_y
_atom_site_fract_z
_atom_site_occupancy
Ac1 Ac 0.0000 0.0000 0.0000 1
Sm1 Sm 0.0000 0.0000 0.5000 1
Sc1 Sc 0.0000 0.0000 0.2478 1
# ΔH_f (0 K) = 0.13 eV per atom
# Total magnetization = 0.00 μB per cell
# Polymorph energy (0 for the lowest one) = 0.044 eV per atom
# Volume = 124 Å³/f.u.
# Final energy = -62.898 eV/cell

---

No. 6
# Tl2HgPd | Alexandria via LeMat-Bulk | PBE-GGA | optimized geometry
data_Tl2HgPd
_chemical_formula_sum 'Tl6 Hg3 Pd3'
_cell_length_a 3.2199
_cell_length_b 3.2199
_cell_length_c 34.3305
_cell_angle_alpha 90.00
_cell_angle_beta 90.00
_cell_angle_gamma 120.00
_symmetry_space_group_name_H-M 'R -3 m'
_symmetry_Int_Tables_number 166
_symmetry_space_group_name_Hall '-R 3 2"'
loop_
_atom_site_label
_atom_site_type_symbol
_atom_site_fract_x
_atom_site_fract_y
_atom_site_fract_z
_atom_site_occupancy
Tl1 Tl 0.0000 0.0000 0.0795 1
Hg1 Hg 0.0000 0.0000 0.5000 1
Pd1 Pd 0.0000 0.0000 0.0000 1
# ΔH_f (0 K) = 0.18 eV per atom
# Total magnetization = 0.00 μB per cell
# Polymorph energy (0 for the lowest one) = 0.242 eV per atom
# Volume = 103 Å³/f.u.
# Final energy = -28.521 eV/cell

---

No. 7
# TiAsPbO6 | Alexandria via LeMat-Bulk | PBE-GGA | optimized geometry
data_TiAsPbO6
_chemical_formula_sum 'Ti2 As2 Pb2 O12'
_cell_length_a 5.1434
_cell_length_b 5.1434
_cell_length_c 9.9282
_cell_angle_alpha 90.00
_cell_angle_beta 90.00
_cell_angle_gamma 120.00
_symmetry_space_group_name_H-M 'P -3 1 c'
_symmetry_Int_Tables_number 163
_symmetry_space_group_name_Hall '-P 3 2c'
loop_
_atom_site_label
_atom_site_type_symbol
_atom_site_fract_x
_atom_site_fract_y
_atom_site_fract_z
_atom_site_occupancy
Ti1 Ti 0.3333 0.6667 0.2500 1
As1 As 0.3333 0.6667 0.7500 1
Pb1 Pb 0.0000 0.0000 0.0000 1
O1 O 0.0157 0.3863 0.6453 1
# Total magnetization = 0.00 μB per cell
# ΔE_f (raw) = -1.7272 eV/atom
# Volume = 114 Å³/f.u.
# Final energy = -123.093 eV/cell

---

No. 8
# Ti3Co | Alexandria via LeMat-Bulk | PBE-GGA | optimized geometry
data_Ti3Co
_chemical_formula_sum 'Ti3 Co1'
_cell_length_a 2.772
_cell_length_b 2.873
_cell_length_c 8.111
_cell_angle_alpha 90.00
_cell_angle_beta 90.00
_cell_angle_gamma 90.00
_symmetry_space_group_name_H-M 'P m m 2'
_symmetry_Int_Tables_number 25
loop_
_symmetry_equiv_pos_as_xyz
'x,y,z'
'-x,-y,z'
'-x,y,z'
'x,-y,z'
loop_
_atom_site_label
_atom_site_type_symbol
_atom_site_fract_x
_atom_site_fract_y
_atom_site_fract_z
_atom_site_occupancy
Ti1 Ti 0.000 0.000 0.000 1
Ti2 Ti 0.000 0.500 0.329 1
Ti3 Ti 0.500 0.500 0.751 1
Co1 Co 0.500 0.000 0.503 1
# ΔH_f (0 K) = 0.08 eV per atom
# Total magnetization = 0.00 μB per cell
# Volume = 65 Å³/f.u.
# Final energy = -30.484 eV/cell

---

No. 9
# Sm3CdNi2 | Alexandria via LeMat-Bulk | PBE-GGA | optimized geometry
data_Sm3CdNi2
_chemical_formula_sum 'Sm6 Cd2 Ni4'
_cell_length_a 4.134
_cell_length_b 9.598
_cell_length_c 7.323
_cell_angle_alpha 90.00
_cell_angle_beta 90.00
_cell_angle_gamma 90.00
_symmetry_space_group_name_H-M 'P m c 21'
_symmetry_Int_Tables_number 26
loop_
_symmetry_equiv_pos_as_xyz
'x,y,z'
'-x,-y,z+1/2'
'-x,y,z'
'x,-y,z+1/2'
loop_
_atom_site_label
_atom_site_type_symbol
_atom_site_fract_x
_atom_site_fract_y
_atom_site_fract_z
_atom_site_occupancy
Sm1 Sm 0.000 0.051 0.000 1
Sm2 Sm 0.500 0.258 0.386 1
Sm3 Sm 0.500 0.333 0.866 1
Cd1 Cd 0.000 0.493 0.124 1
Ni1 Ni 0.000 0.211 0.655 1
Ni2 Ni 0.500 0.054 0.721 1
# ΔH_f (0 K) = -0.30 eV per atom
# Total magnetization = 0.00 μB per cell
# Volume = 145 Å³/f.u.
# Final energy = -56.823 eV/cell

---

No. 10
# YB2Ir2 | Alexandria via LeMat-Bulk | PBE-GGA | optimized geometry
data_YB2Ir2
_chemical_formula_sum 'Y2 B4 Ir4'
_cell_length_a 3.910
_cell_length_b 3.910
_cell_length_c 9.192
_cell_angle_alpha 90.00
_cell_angle_beta 90.00
_cell_angle_gamma 90.00
_symmetry_space_group_name_H-M 'I 4/m m m'
_symmetry_Int_Tables_number 139
_symmetry_space_group_name_Hall '-I 4 2'
loop_
_atom_site_label
_atom_site_type_symbol
_atom_site_fract_x
_atom_site_fract_y
_atom_site_fract_z
_atom_site_occupancy
Y1 Y 0.000 0.000 0.000 1
B1 B 0.000 0.500 0.250 1
Ir1 Ir 0.000 0.000 0.354 1
# ΔH_f (0 K) = -0.46 eV per atom
# Total magnetization = 0.00 μB per cell
# Polymorph energy (0 for the lowest one) = 0.277 eV per atom
# Volume = 70 Å³/f.u.
# Final energy = -79.655 eV/cell